[1]
# K4TlHg2, relaxed, DFT GGA-PBE
# - ΔE_f: -0.15 eV/atom
data_K4TlHg2
_symmetry_space_group_name_H-M 'P -1'
_symmetry_Int_Tables_number 2
_symmetry_space_group_name_Hall '-P 1'
_cell_length_a 7.591
_cell_length_b 8.471
_cell_length_c 10.987
_cell_angle_alpha 91.00
_cell_angle_beta 108.36
_cell_angle_gamma 115.98
loop_
_atom_site_label
_atom_site_type_symbol
_atom_site_fract_x
_atom_site_fract_y
_atom_site_fract_z
K1 K 0.171 0.234 0.144
K2 K 0.220 0.734 0.651
K3 K 0.278 0.770 0.286
K4 K 0.291 0.276 0.798
Tl1 Tl 0.196 0.101 0.458
Hg1 Hg 0.196 0.593 0.960
Hg2 Hg 0.500 0.000 0.000
Hg3 Hg 0.500 0.500 0.500

=====

[2]
# K4TlHg15, relaxed, DFT GGA-PBE
# - ΔE_f: -0.17 eV/atom
data_K4TlHg15
_symmetry_space_group_name_H-M 'P 4/m m m'
_symmetry_Int_Tables_number 123
_symmetry_space_group_name_Hall '-P 4 2'
_cell_length_a 5.018
_cell_length_b 5.018
_cell_length_c 24.345
_cell_angle_alpha 90.00
_cell_angle_beta 90.00
_cell_angle_gamma 90.00
loop_
_atom_site_label
_atom_site_type_symbol
_atom_site_fract_x
_atom_site_fract_y
_atom_site_fract_z
K1 K 0.000 0.000 0.103
K2 K 0.000 0.000 0.308
Tl1 Tl 0.000 0.000 0.500
Hg1 Hg 0.000 0.500 0.000
Hg2 Hg 0.000 0.500 0.206
Hg3 Hg 0.000 0.500 0.410
Hg4 Hg 0.500 0.500 0.098
Hg5 Hg 0.500 0.500 0.315
Hg6 Hg 0.500 0.500 0.500

=====

[3]
# K3Tl8Hg, relaxed, DFT GGA-PBE
# - ΔE_f: -0.07 eV/atom
data_K3Tl8Hg
_symmetry_space_group_name_H-M 'P 3 m 1'
_symmetry_Int_Tables_number 156
_symmetry_space_group_name_Hall 'P 3 -2"'
_cell_length_a 6.7355
_cell_length_b 6.7355
_cell_length_c 10.3929
_cell_angle_alpha 90.00
_cell_angle_beta 90.00
_cell_angle_gamma 120.00
loop_
_atom_site_label
_atom_site_type_symbol
_atom_site_fract_x
_atom_site_fract_y
_atom_site_fract_z
K1 K 0.0000 0.0000 0.0000
K2 K 0.0000 0.0000 0.3804
K3 K 0.3333 0.6667 0.8559
Tl1 Tl 0.0108 0.5054 0.1889
Tl2 Tl 0.3290 0.1645 0.6805
Tl3 Tl 0.6667 0.3333 0.4325
Tl4 Tl 0.6667 0.3333 0.9354
Hg1 Hg 0.3333 0.6667 0.5074

=====

[4]
# KTl2Hg2, relaxed, DFT GGA-PBE
# - ΔE_f: -0.11 eV/atom
data_KTl2Hg2
_symmetry_space_group_name_H-M 'P 4/m b m'
_symmetry_Int_Tables_number 127
_symmetry_space_group_name_Hall '-P 4 2ab'
_cell_length_a 9.158
_cell_length_b 9.158
_cell_length_c 3.788
_cell_angle_alpha 90.00
_cell_angle_beta 90.00
_cell_angle_gamma 90.00
loop_
_atom_site_label
_atom_site_type_symbol
_atom_site_fract_x
_atom_site_fract_y
_atom_site_fract_z
K1 K 0.000 0.000 0.000
Tl1 Tl 0.149 0.351 0.500
Hg1 Hg 0.144 0.644 0.000

=====

[5]
# KY2TlHg, relaxed, DFT GGA-PBE
# - ΔE_f: 0.40 eV/atom
data_KY2TlHg
_symmetry_space_group_name_H-M 'P 4/m m m'
_symmetry_Int_Tables_number 123
_symmetry_space_group_name_Hall '-P 4 2'
_cell_length_a 5.871
_cell_length_b 5.871
_cell_length_c 5.931
_cell_angle_alpha 90.00
_cell_angle_beta 90.00
_cell_angle_gamma 90.00
loop_
_atom_site_label
_atom_site_type_symbol
_atom_site_fract_x
_atom_site_fract_y
_atom_site_fract_z
K1 K 0.000 0.000 0.000
Y1 Y 0.000 0.500 0.500
Tl1 Tl 0.500 0.500 0.500
Hg1 Hg 0.500 0.500 0.000

=====

[6]
# KYTlHg, relaxed, DFT GGA-PBE
# - ΔE_f: -0.11 eV/atom
data_KYTlHg
_symmetry_space_group_name_H-M 'F -4 3 m'
_symmetry_Int_Tables_number 216
_symmetry_space_group_name_Hall 'F -4 2 3'
_cell_length_a 7.814
_cell_length_b 7.814
_cell_length_c 7.814
_cell_angle_alpha 90.00
_cell_angle_beta 90.00
_cell_angle_gamma 90.00
loop_
_atom_site_label
_atom_site_type_symbol
_atom_site_fract_x
_atom_site_fract_y
_atom_site_fract_z
K1 K 0.000 0.000 0.000
Y1 Y 0.000 0.000 0.500
Tl1 Tl 0.250 0.250 0.750
Hg1 Hg 0.250 0.250 0.250

=====

- Which formula does entry 6 have?
  KYTlHg